Density functional theory data (PBE+U) for PaFe2BiO8 after structural relaxation.

Summary:
- SG: I-4m2 (119)
- Total magnetization: 9.7 μB/f.u.
- Final energy: -7.1381 eV/atom

Geometry as POSCAR:
```
PaFe2BiO8
1.0
5.970 0.338 0.000
-2.345 5.501 0.000
-1.813 -2.920 4.894
Pa Fe Bi O
1 2 1 8
direct
0.250 0.750 0.500
0.750 0.250 0.500
0.500 0.500 0.000
0.000 0.000 0.000
0.365 0.052 0.313
0.304 0.494 0.190
0.304 0.114 0.810
0.739 0.052 0.687
0.886 0.696 0.190
0.948 0.261 0.313
0.948 0.635 0.687
0.506 0.696 0.810
```